(1)
# LaAs2Pb PBE-GGA optimized geometry
data_LaAs2Pb
_chemical_formula_sum 'La3 As6 Pb3'
_space_group_name_H-M_alt 'R -3 m'
_space_group_IT_number 166
_space_group_name_Hall '-R 3 2"'
_cell_length_a 3.3353
_cell_length_b 3.3353
_cell_length_c 32.5786
_cell_angle_alpha 90.00
_cell_angle_beta 90.00
_cell_angle_gamma 120.00
loop_
_atom_site_label
_atom_site_fract_x
_atom_site_fract_y
_atom_site_fract_z
La1 0.0000 0.0000 0.0000
As1 0.0000 0.0000 0.2549
Pb1 0.0000 0.0000 0.5000
# formation energy	-43	meV per atom

=====

(2)
# La2Ni6B3 PBE-GGA optimized geometry
data_La2Ni6B3
_chemical_formula_sum 'La4 Ni12 B6'
_space_group_name_H-M_alt 'I m m 2'
_space_group_IT_number 44
_space_group_name_Hall 'I 2 -2'
_cell_length_a 5.265
_cell_length_b 6.800
_cell_length_c 8.297
_cell_angle_alpha 90.00
_cell_angle_beta 90.00
_cell_angle_gamma 90.00
loop_
_atom_site_label
_atom_site_fract_x
_atom_site_fract_y
_atom_site_fract_z
La1 0.000 0.000 0.000
La2 0.000 0.500 0.117
Ni1 0.000 0.233 0.562
Ni2 0.249 0.312 0.809
B1 0.000 0.000 0.412
B2 0.000 0.500 0.460
B3 0.000 0.500 0.687
# formation energy	-328	meV per atom

=====

(3)
# PaTlSn2O8 PBE-GGA optimized geometry
data_PaTlSn2O8
_chemical_formula_sum 'Pa2 Tl2 Sn4 O16'
_space_group_name_H-M_alt 'I -4 m 2'
_space_group_IT_number 119
_space_group_name_Hall 'I -4 -2'
_cell_length_a 7.135
_cell_length_b 7.135
_cell_length_c 7.131
_cell_angle_alpha 90.00
_cell_angle_beta 90.00
_cell_angle_gamma 90.00
loop_
_atom_site_label
_atom_site_fract_x
_atom_site_fract_y
_atom_site_fract_z
Pa1 0.000 0.000 0.000
Tl1 0.000 0.500 0.250
Sn1 0.000 0.000 0.500
Sn2 0.000 0.500 0.750
O1 0.000 0.186 0.293
O2 0.000 0.300 0.939
# E_form (uncorrected)	-1780	meV per atom

=====

(4)
# Nd6TcO12 PBE-GGA optimized geometry
data_Nd6TcO12
_chemical_formula_sum 'Nd18 Tc3 O36'
_space_group_name_H-M_alt 'R -3'
_space_group_IT_number 148
_space_group_name_Hall '-R 3'
_cell_length_a 10.1778
_cell_length_b 10.1778
_cell_length_c 9.7843
_cell_angle_alpha 90.00
_cell_angle_beta 90.00
_cell_angle_gamma 120.00
loop_
_atom_site_label
_atom_site_fract_x
_atom_site_fract_y
_atom_site_fract_z
Nd1 0.0462 0.2570 0.1451
Tc1 0.0000 0.0000 0.5000
O1 0.0369 0.2259 0.9032
O2 0.0395 0.1798 0.3919
# E_form (uncorrected)	-2959	meV per atom

=====

(5)
# ZrBi3Br PBE-GGA optimized geometry
data_ZrBi3Br
_chemical_formula_sum 'Zr1 Bi3 Br1'
_space_group_name_H-M_alt 'P m -3 m'
_space_group_IT_number 221
_space_group_name_Hall '-P 4 2 3'
_cell_length_a 5.552
_cell_length_b 5.552
_cell_length_c 5.552
_cell_angle_alpha 90.00
_cell_angle_beta 90.00
_cell_angle_gamma 90.00
loop_
_atom_site_label
_atom_site_fract_x
_atom_site_fract_y
_atom_site_fract_z
Zr1 0.000 0.000 0.000
Bi1 0.000 0.500 0.500
Br1 0.500 0.500 0.500
# E_form (uncorrected)	898	meV per atom

=====

(6)
# BeHg3Br PBE-GGA optimized geometry
data_BeHg3Br
_chemical_formula_sum 'Be1 Hg3 Br1'
_space_group_name_H-M_alt 'P m -3 m'
_space_group_IT_number 221
_space_group_name_Hall '-P 4 2 3'
_cell_length_a 6.276
_cell_length_b 6.276
_cell_length_c 6.276
_cell_angle_alpha 90.00
_cell_angle_beta 90.00
_cell_angle_gamma 90.00
loop_
_atom_site_label
_atom_site_fract_x
_atom_site_fract_y
_atom_site_fract_z
Be1 0.000 0.000 0.000
Hg1 0.000 0.500 0.500
Br1 0.500 0.500 0.500
# E_form (uncorrected)	828	meV per atom

=====

(7)
# Ac2Zn2Pd3 PBE-GGA optimized geometry
data_Ac2Zn2Pd3
_chemical_formula_sum 'Ac8 Zn8 Pd12'
_space_group_name_H-M_alt 'C m c m'
_space_group_IT_number 63
_space_group_name_Hall '-C 2c 2'
_cell_length_a 4.289
_cell_length_b 19.452
_cell_length_c 7.643
_cell_angle_alpha 90.00
_cell_angle_beta 90.00
_cell_angle_gamma 90.00
loop_
_atom_site_label
_atom_site_fract_x
_atom_site_fract_y
_atom_site_fract_z
Ac1 0.000 0.061 0.250
Ac2 0.000 0.156 0.750
Zn1 0.000 0.307 0.562
Pd1 0.000 0.224 0.250
Pd2 0.000 0.435 0.061
# formation energy	-709	meV per atom

=====

(8)
# KSrSe2 PBE-GGA optimized geometry
data_KSrSe2
_chemical_formula_sum 'K2 Sr2 Se4'
_space_group_name_H-M_alt 'C m m m'
_space_group_IT_number 65
_space_group_name_Hall '-C 2 2'
_cell_length_a 6.779
_cell_length_b 8.090
_cell_length_c 4.069
_cell_angle_alpha 90.00
_cell_angle_beta 90.00
_cell_angle_gamma 90.00
loop_
_atom_site_label
_atom_site_fract_x
_atom_site_fract_y
_atom_site_fract_z
K1 0.000 0.000 0.000
Sr1 0.000 0.500 0.000
Se1 0.250 0.250 0.500
# E_form (uncorrected)	-1268	meV per atom

=====

> Which formula does entry 6 have?

BeHg3Br

=====

> Number 5 is which compound?

ZrBi3Br